[1]
# PBE BeCd2GaH, relaxed
# V   22.564 Å³/atom
# VASP energy   -1.635 eV per atom
data_BeCd2GaH
_space_group_name_H-M_alt 'P 4/m m m'
_space_group_IT_number 123
_space_group_name_Hall '-P 4 2'
_cell_length_a 5.148
_cell_length_b 5.148
_cell_length_c 4.257
_cell_angle_alpha 90.00
_cell_angle_beta 90.00
_cell_angle_gamma 90.00
loop_
_atom_site_label
_atom_site_fract_x
_atom_site_fract_y
_atom_site_fract_z
Be1 0.000 0.000 0.000
Cd1 0.000 0.500 0.500
Ga1 0.000 0.000 0.500
H1 0.500 0.500 0.000



[2]
# PBE LiBeCdGa, relaxed
# DFT formation energy   43 meV/atom
# V   14.762 Å³/atom
data_LiBeCdGa
_space_group_name_H-M_alt 'F -4 3 m'
_space_group_IT_number 216
_space_group_name_Hall 'F -4 2 3'
_cell_length_a 6.181
_cell_length_b 6.181
_cell_length_c 6.181
_cell_angle_alpha 90.00
_cell_angle_beta 90.00
_cell_angle_gamma 90.00
loop_
_atom_site_label
_atom_site_fract_x
_atom_site_fract_y
_atom_site_fract_z
Li1 0.000 0.000 0.000
Be1 0.000 0.000 0.500
Cd1 0.250 0.250 0.250
Ga1 0.250 0.250 0.750



[3]
# PBE BeCd2GaN, relaxed
# E_form (uncorrected)   96 kJ per mole of atoms
# V   21.925 Å³/atom
data_BeCd2GaN
_space_group_name_H-M_alt 'P 4/m m m'
_space_group_IT_number 123
_space_group_name_Hall '-P 4 2'
_cell_length_a 5.620
_cell_length_b 5.620
_cell_length_c 3.471
_cell_angle_alpha 90.00
_cell_angle_beta 90.00
_cell_angle_gamma 90.00
loop_
_atom_site_label
_atom_site_fract_x
_atom_site_fract_y
_atom_site_fract_z
Be1 0.000 0.000 0.000
Cd1 0.000 0.500 0.500
Ga1 0.500 0.500 0.500
N1 0.500 0.500 0.000



[4]
# PBE BeCd2GaO4, relaxed
# E_form (uncorrected)   -148 kJ per mole of atoms
# V   12.730 Å³/atom
data_BeCd2GaO4
_space_group_name_H-M_alt 'P m n 21'
_space_group_IT_number 31
_cell_length_a 6.215
_cell_length_b 6.221
_cell_length_c 5.268
_cell_angle_alpha 90.00
_cell_angle_beta 90.00
_cell_angle_gamma 90.00
loop_
_space_group_symop_operation_xyz
'x,y,z'
'-x+1/2,-y,z+1/2'
'-x,y,z'
'x+1/2,-y,z+1/2'
loop_
_atom_site_label
_atom_site_fract_x
_atom_site_fract_y
_atom_site_fract_z
Be1 0.000 0.142 0.000
Cd1 0.248 0.651 0.012
Ga1 0.000 0.867 0.501
O1 0.000 0.125 0.685
O2 0.000 0.905 0.145
O3 0.234 0.275 0.082



[5]
# PBE Be2Cd2GaPt5, relaxed
# DFT formation energy   -541 meV/atom
# V   14.940 Å³/atom
data_Be2Cd2GaPt5
_space_group_name_H-M_alt 'P 4/m b m'
_space_group_IT_number 127
_space_group_name_Hall '-P 4 2ab'
_cell_length_a 9.320
_cell_length_b 9.320
_cell_length_c 3.440
_cell_angle_alpha 90.00
_cell_angle_beta 90.00
_cell_angle_gamma 90.00
loop_
_atom_site_label
_atom_site_fract_x
_atom_site_fract_y
_atom_site_fract_z
Be1 0.125 0.375 0.000
Cd1 0.174 0.674 0.000
Ga1 0.000 0.000 0.000
Pt1 0.000 0.500 0.500
Pt2 0.072 0.207 0.500



[6]
# PBE BeCd2GaRh, relaxed
# DFT formation energy   300 meV/atom
# V   22.578 Å³/atom
data_BeCd2GaRh
_space_group_name_H-M_alt 'P 4/m m m'
_space_group_IT_number 123
_space_group_name_Hall '-P 4 2'
_cell_length_a 5.198
_cell_length_b 5.198
_cell_length_c 4.178
_cell_angle_alpha 90.00
_cell_angle_beta 90.00
_cell_angle_gamma 90.00
loop_
_atom_site_label
_atom_site_fract_x
_atom_site_fract_y
_atom_site_fract_z
Be1 0.000 0.000 0.000
Cd1 0.000 0.500 0.500
Ga1 0.500 0.500 0.000
Rh1 0.000 0.000 0.500



[7]
# PBE BeCd2GaS, relaxed
# E_form (uncorrected)   26 kJ per mole of atoms
# V   20.146 Å³/atom
data_BeCd2GaS
_space_group_name_H-M_alt 'P 4/m m m'
_space_group_IT_number 123
_space_group_name_Hall '-P 4 2'
_cell_length_a 4.844
_cell_length_b 4.844
_cell_length_c 4.292
_cell_angle_alpha 90.00
_cell_angle_beta 90.00
_cell_angle_gamma 90.00
loop_
_atom_site_label
_atom_site_fract_x
_atom_site_fract_y
_atom_site_fract_z
Be1 0.000 0.000 0.000
Cd1 0.000 0.500 0.000
Ga1 0.000 0.000 0.500
S1 0.500 0.500 0.500



[8]
# PBE BeCdGaSi2, relaxed
# E_form (uncorrected)   53 kJ per mole of atoms
# V   18.177 Å³/atom
data_BeCdGaSi2
_space_group_name_H-M_alt 'P 4/m m m'
_space_group_IT_number 123
_space_group_name_Hall '-P 4 2'
_cell_length_a 4.412
_cell_length_b 4.412
_cell_length_c 4.669
_cell_angle_alpha 90.00
_cell_angle_beta 90.00
_cell_angle_gamma 90.00
loop_
_atom_site_label
_atom_site_fract_x
_atom_site_fract_y
_atom_site_fract_z
Be1 0.000 0.000 0.000
Cd1 0.500 0.500 0.500
Ga1 0.000 0.000 0.500
Si1 0.000 0.500 0.000



Question: Among the records above, which one has the lowest V?
Answer: BeCd2GaO4